## Cr2InCl (meta-GGA SCAN)

Data for Cr2InCl at its PBEsol-relaxed geometry.

Results
Its offset from the most stable computed form is 79.0 meV/atom. Its density of states at the Fermi level is 1.40 states/eV/f.u. Its space group is Cmmm. Its formation energy from raw total energies is -0.032 eV per atom. The value obtained for the calculated total energy is -19.565 eV/atom.

Cell lengths 3.186, 3.186, 8.233 Å; angles 90.00, 90.00, 115.66 degrees
Site moments in Bohr magnetons follow the coordinates.
Fractional coordinates of all 4 atoms:
In (0.500, 0.500, 0.500)  -0.14
Cr (0.000, 0.000, 0.764)  3.99
Cr (0.000, 0.000, 0.236)  3.99
Cl (0.500, 0.500, 0.000)  0.04

---

## Cr2InCl (meta-GGA SCAN)

Data for Cr2InCl at its PBEsol-relaxed geometry.

Results
Its offset from the most stable computed form is 127.5 meV/atom. Its density of states at the Fermi level is 2.45 states/eV/f.u. Its space group is R3m. Its formation energy from raw total energies is 0.016 eV per atom. The value obtained for the calculated total energy is -19.517 eV/atom.

Cell lengths 2.993, 2.993, 9.085 Å; angles 80.52, 80.52, 60.00 degrees
Site moments in Bohr magnetons follow the coordinates.
Fractional coordinates of all 4 atoms:
Cr (0.731, 0.731, 0.808)  -2.31
Cr (0.007, 0.007, 0.978)  2.65
Cl (0.277, 0.277, 0.169)  0.05
In (0.485, 0.485, 0.545)  0.05

---

## CrInP2Cl (meta-GGA SCAN)

Data for CrInP2Cl at its PBEsol-relaxed geometry.

Results
Its density of states at the Fermi level is 2.08 states/eV/f.u. Its space group is P4/mmm. Its formation energy from raw total energies is 0.031 eV per atom. The value obtained for the calculated total energy is -16.078 eV/atom.

Cell lengths 4.387, 4.387, 5.083 Å; angles 90.00, 90.00, 90.00 degrees
Site moments in Bohr magnetons follow the coordinates.
Fractional coordinates of all 5 atoms:
Cl (0.000, 0.000, 0.500)  -0.04
P (0.500, 0.000, 0.000)  -0.23
P (0.000, 0.500, 0.000)  -0.23
Cr (0.000, 0.000, 0.000)  2.11
In (0.500, 0.500, 0.500)  -0.05

---

## CrInS2Cl (meta-GGA SCAN)

Data for CrInS2Cl at its PBEsol-relaxed geometry.

Results
Its density of states at the Fermi level is 2.11 states/eV/f.u. Its space group is P4/mmm. Its formation energy from raw total energies is -0.524 eV per atom. The value obtained for the calculated total energy is -16.325 eV/atom.

Cell lengths 4.569, 4.569, 4.763 Å; angles 90.00, 90.00, 90.00 degrees
Site moments in Bohr magnetons follow the coordinates.
Fractional coordinates of all 5 atoms:
Cr (0.000, 0.000, 0.000)  2.59
S (0.500, 0.000, 0.000)  -0.08
S (0.000, 0.500, 0.000)  -0.08
In (0.500, 0.500, 0.500)  -0.14
Cl (0.000, 0.000, 0.500)  -0.01

---

## CrInSeCl2 (meta-GGA SCAN)

Data for CrInSeCl2 at its PBEsol-relaxed geometry.

Results
Its density of states at the Fermi level is 1.62 states/eV/f.u. Its space group is P4/mmm. Its formation energy from raw total energies is -0.318 eV per atom. The value obtained for the calculated total energy is -17.879 eV/atom.

Cell lengths 4.956, 4.956, 5.364 Å; angles 90.00, 90.00, 90.00 degrees
Site moments in Bohr magnetons follow the coordinates.
Fractional coordinates of all 5 atoms:
Cl (0.500, 0.000, 0.000)  0.01
Cl (0.000, 0.500, 0.000)  0.01
Cr (0.500, 0.500, 0.500)  4.35
Se (0.000, 0.000, 0.500)  -0.11
In (0.000, 0.000, 0.000)  0.01

---

## Cr2InTeCl (meta-GGA SCAN)

Data for Cr2InTeCl at its PBEsol-relaxed geometry.

Results
Its density of states at the Fermi level is 0.25 states/eV/f.u. Its space group is P4/mmm. Its formation energy from raw total energies is 0.188 eV per atom. The value obtained for the calculated total energy is -22.889 eV/atom.

Cell lengths 5.138, 5.138, 6.558 Å; angles 90.00, 90.00, 90.00 degrees
Site moments in Bohr magnetons follow the coordinates.
Fractional coordinates of all 5 atoms:
Cl (0.500, 0.500, 0.500)  0.05
Cr (0.000, 0.500, 0.000)  4.29
Cr (0.500, 0.000, 0.000)  4.29
Te (0.000, 0.000, 0.000)  -0.14
In (0.000, 0.000, 0.500)  0.04

---

## Cr3IrCl (meta-GGA SCAN)

Data for Cr3IrCl at its PBEsol-relaxed geometry.

Results
Its density of states at the Fermi level is 3.77 states/eV/f.u. Its space group is Pm-3m. Its formation energy from raw total energies is 0.638 eV per atom. The value obtained for the calculated total energy is -26.208 eV/atom.

Cell lengths 4.739, 4.739, 4.739 Å; angles 90.00, 90.00, 90.00 degrees
Site moments in Bohr magnetons follow the coordinates.
Fractional coordinates of all 5 atoms:
Ir (0.000, 0.000, 0.000)  -0.40
Cr (0.000, 0.000, 0.500)  3.62
Cr (0.000, 0.500, 0.000)  3.62
Cr (0.500, 0.000, 0.000)  3.62
Cl (0.500, 0.500, 0.500)  0.14

---

## CrIr2Cl (meta-GGA SCAN)

Data for CrIr2Cl at its PBEsol-relaxed geometry.

Results
Its offset from the most stable computed form is 334.5 meV/atom. Its density of states at the Fermi level is 3.69 states/eV/f.u. Its space group is Fm-3m. Its formation energy from raw total energies is 0.873 eV per atom. The value obtained for the calculated total energy is -41.267 eV/atom.

Cell lengths 4.315, 4.315, 4.315 Å; angles 60.00, 60.00, 60.00 degrees
Site moments in Bohr magnetons follow the coordinates.
Fractional coordinates of all 4 atoms:
Ir (0.750, 0.750, 0.750)  -0.71
Ir (0.250, 0.250, 0.250)  -0.71
Cl (0.000, 0.000, 0.000)  -0.07
Cr (0.500, 0.500, 0.500)  2.70

---

Which formula does entry 7 have?
Cr3IrCl

---

Look up the formation energy from raw total energies of the fifth one.
-0.318 eV per atom

---

Copy entry 5 word for word.
## CrInSeCl2 (meta-GGA SCAN)

Data for CrInSeCl2 at its PBEsol-relaxed geometry.

Results
Its density of states at the Fermi level is 1.62 states/eV/f.u. Its space group is P4/mmm. Its formation energy from raw total energies is -0.318 eV per atom. The value obtained for the calculated total energy is -17.879 eV/atom.

Cell lengths 4.956, 4.956, 5.364 Å; angles 90.00, 90.00, 90.00 degrees
Site moments in Bohr magnetons follow the coordinates.
Fractional coordinates of all 5 atoms:
Cl (0.500, 0.000, 0.000)  0.01
Cl (0.000, 0.500, 0.000)  0.01
Cr (0.500, 0.500, 0.500)  4.35
Se (0.000, 0.000, 0.500)  -0.11
In (0.000, 0.000, 0.000)  0.01